VASP calculation (GGA-PBE) on LiAlRh2 after structural relaxation.

Structure (POSCAR):
```
LiAlRh2
1.0
6.490 0.000 0.000
0.000 6.490 0.000
3.245 3.245 2.743
Rh Al Li
4 2 2
direct
0.628 0.125 0.250
0.375 0.372 0.750
0.122 0.625 0.250
0.875 0.878 0.750
0.750 0.250 0.500
0.000 0.000 0.000
0.500 0.500 0.000
0.250 0.750 0.500
```

Values from the calculation:
ΔH_f (0 K), eV per atom: -0.1707
E, eV/atom: -5.261